Run 1
Material: ScTaV
Method: DFT, PBE-GGA
State: relaxed

Cell and atoms, written as POSCAR:
```
ScTaV
1.0
-2.8481 3.9180 2.5002
2.8481 -3.9180 2.5002
2.8481 3.9180 -2.5002
Sc Ta V
2 2 2
direct
0.1334 0.2500 0.3834
0.8666 0.7500 0.6166
0.4891 0.4891 0.0000
0.4891 0.9891 0.5000
0.0340 0.5641 0.9699
0.5943 0.0641 0.0301
```

Summary:
- Total magnetic moment: 0.000 Bohr magnetons per cell
- V: 18.60 Å³ per atom

---

Run 2
Material: ScTaV
Method: DFT, PBE-GGA
State: relaxed

Cell and atoms, written as POSCAR:
```
ScTaV
1.0
4.8495 -2.3024 0.0000
4.8495 2.3024 0.0000
-3.2207 0.0000 4.8722
Sc Ta V
2 2 2
direct
0.0000 0.0000 0.0000
0.6470 0.6470 0.8253
0.3557 0.3557 0.2116
0.7019 0.7019 0.3833
0.0041 0.0041 0.4718
0.2940 0.2940 0.6435
```

Summary:
- Total magnetic moment: 0.001 Bohr magnetons per cell
- V: 18.13 Å³ per atom

---

Q: Which of them is the least stable? A: run 1.